Here is a relaxed SmBrCl2 crystal from the Alexandria database. Energies are from GGA-PBE.

Cell and atoms, written as extended XYZ:
```
16
Lattice="7.890 0.000 0.000 0.000 11.968 0.000 -3.452 0.000 6.382" Properties=species:S:1:pos:R:3 pbc="T T T"
Sm 0.000 1.097 0.000
Sm -1.726 10.871 3.191
Sm 2.219 4.887 3.191
Sm 3.945 7.081 0.000
Br -0.311 4.999 4.558
Br 1.415 6.970 1.367
Br 5.360 0.985 1.367
Br 3.634 10.983 4.558
Cl -1.097 0.779 5.055
Cl 0.629 11.190 1.864
Cl 1.176 3.006 1.532
Cl -0.550 8.963 4.723
Cl 4.574 5.206 1.864
Cl 2.848 6.763 5.055
Cl 3.395 2.979 4.723
Cl 5.121 8.990 1.532
```

Values from the calculation:
The calculation puts the formation energy from raw total energies at -204.7 kJ per mole of atoms. As for the excess energy over the best structure of this formula in the dataset: 10.1 meV per atom. For the density of states at the Fermi level, the calculation gives 0.00 states/eV/cell. The calculation puts the total magnetization at 0.00 μB/cell.



Here is a relaxed SmBr2Cl crystal from the Alexandria database. Energies are from GGA-PBE.

Cell and atoms, written as extended XYZ:
```
16
Lattice="4.010 0.000 0.000 0.000 14.155 0.000 0.000 0.000 9.144" Properties=species:S:1:pos:R:3 pbc="T T T"
Sm 0.000 3.430 2.286
Sm 0.000 10.725 6.858
Sm 2.005 3.647 6.858
Sm 2.005 10.508 2.286
Br 0.000 2.160 5.169
Br 0.000 2.160 8.546
Br 0.000 11.995 0.597
Br 0.000 11.995 3.974
Br 2.005 4.917 0.597
Br 2.005 4.917 3.974
Br 2.005 9.238 5.169
Br 2.005 9.238 8.546
Cl 0.000 5.487 6.858
Cl 0.000 8.668 2.286
Cl 2.005 1.590 2.286
Cl 2.005 12.565 6.858
```

Values from the calculation:
The calculation puts the formation energy from raw total energies at -193.6 kJ per mole of atoms. As for the excess energy over the best structure of this formula in the dataset: 0.0 meV per atom. For the density of states at the Fermi level, the calculation gives 0.00 states/eV/cell. The calculation puts the total magnetization at 0.00 μB/cell.



Here is a relaxed SmBrCl crystal from the Alexandria database. Energies are from GGA-PBE.

Cell and atoms, written as extended XYZ:
```
6
Lattice="5.571 0.000 0.000 -0.526 5.557 0.000 -1.202 -1.325 5.593" Properties=species:S:1:pos:R:3 pbc="T T T"
Sm 0.432 0.468 2.139
Sm 3.412 3.763 3.454
Br 0.079 0.072 5.064
Br 3.765 4.159 0.529
Cl 0.616 3.300 2.792
Cl 3.228 0.931 2.801
```

Values from the calculation:
The calculation puts the formation energy from raw total energies at -163.1 kJ per mole of atoms. For the density of states at the Fermi level, the calculation gives 2.52 states/eV/cell. The calculation puts the total magnetization at 0.00 μB/cell.



Here is a relaxed SmBr2Cl crystal from the Alexandria database. Energies are from GGA-PBE.

Cell and atoms, written as extended XYZ:
```
8
Lattice="4.243 0.000 0.000 0.000 13.637 0.000 0.000 0.000 5.421" Properties=species:S:1:pos:R:3 pbc="T T T"
Sm 0.000 0.000 0.000
Sm 2.122 6.818 2.711
Br 0.000 4.868 2.716
Br 0.000 8.769 2.716
Br 2.122 1.950 0.005
Br 2.122 11.687 0.005
Cl 0.000 0.000 2.712
Cl 2.122 6.818 0.001
```

Values from the calculation:
The calculation puts the formation energy from raw total energies at -191.6 kJ per mole of atoms. As for the excess energy over the best structure of this formula in the dataset: 20.7 meV per atom. For the density of states at the Fermi level, the calculation gives 0.00 states/eV/cell. The calculation puts the total magnetization at 0.00 μB/cell.



Here is a relaxed Sm2Br4Cl crystal from the Alexandria database. Energies are from GGA-PBE.

Cell and atoms, written as extended XYZ:
```
7
Lattice="2.558 1.477 9.679 -2.558 1.477 9.679 0.000 -2.954 9.679" Properties=species:S:1:pos:R:3 pbc="T T T"
Sm 0.000 0.000 2.682
Sm 0.000 0.000 26.355
Br 0.000 0.000 5.825
Br 0.000 0.000 11.668
Br 0.000 0.000 17.369
Br 0.000 0.000 23.212
Cl 0.000 0.000 0.000
```

Values from the calculation:
The calculation puts the formation energy from raw total energies at -162.3 kJ per mole of atoms. For the density of states at the Fermi level, the calculation gives 5.87 states/eV/cell. The calculation puts the total magnetization at 1.04 μB/cell.



Here is a relaxed Sm4TcBr2Cl crystal from the Alexandria database. Energies are from GGA-PBE.

Cell and atoms, written as extended XYZ:
```
8
Lattice="7.658 0.000 0.000 0.000 3.714 0.000 -1.837 0.000 7.826" Properties=species:S:1:pos:R:3 pbc="T T T"
Sm 1.329 0.000 1.710
Sm 0.272 1.857 6.226
Sm 4.492 0.000 6.116
Sm 5.550 1.857 1.600
Tc 0.000 1.857 0.000
Br -0.919 0.000 3.913
Br 2.911 1.857 3.913
Cl 3.829 0.000 0.000
```

Values from the calculation:
The calculation puts the formation energy from raw total energies at -84.7 kJ per mole of atoms. For the density of states at the Fermi level, the calculation gives 5.55 states/eV/cell. The calculation puts the total magnetization at 0.00 μB/cell.



Here is a relaxed SmTl2Br3Cl3 crystal from the Alexandria database. Energies are from GGA-PBE.

Cell and atoms, written as extended XYZ:
```
9
Lattice="8.513 0.000 0.000 -4.257 7.373 0.000 0.000 0.000 4.031" Properties=species:S:1:pos:R:3 pbc="T T T"
Sm 0.000 0.000 0.000
Tl 0.000 4.915 2.015
Tl 4.257 2.458 2.015
Br -1.719 2.977 0.000
Br 3.437 0.000 0.000
Br 2.538 4.396 0.000
Cl -3.286 5.691 2.015
Cl 0.971 1.682 2.015
Cl 6.572 0.000 2.015
```

Values from the calculation:
The calculation puts the formation energy from raw total energies at -126.8 kJ per mole of atoms. For the density of states at the Fermi level, the calculation gives 5.88 states/eV/cell. The calculation puts the total magnetization at 0.00 μB/cell.



Here is a relaxed SnBrCl2 crystal from the Alexandria database. Energies are from GGA-PBE.

Cell and atoms, written as extended XYZ:
```
16
Lattice="7.352 0.000 0.000 0.000 7.352 0.000 0.000 0.000 7.352" Properties=species:S:1:pos:R:3 pbc="T T T"
Sn 0.000 0.000 0.000
Sn 0.000 3.676 3.676
Sn 3.676 0.000 3.676
Sn 3.676 3.676 0.000
Br 0.000 0.000 3.676
Br 0.000 3.676 0.000
Br 3.676 0.000 0.000
Br 3.676 3.676 3.676
Cl 1.838 1.838 1.838
Cl 1.838 1.838 5.514
Cl 1.838 5.514 1.838
Cl 1.838 5.514 5.514
Cl 5.514 1.838 1.838
Cl 5.514 1.838 5.514
Cl 5.514 5.514 1.838
Cl 5.514 5.514 5.514
```

Values from the calculation:
The calculation puts the formation energy from raw total energies at -26.4 kJ per mole of atoms. As for the excess energy over the best structure of this formula in the dataset: 544.1 meV per atom. For the density of states at the Fermi level, the calculation gives 21.99 states/eV/cell. The calculation puts the total magnetization at 3.91 μB/cell.